Here is crystalline KFe2Se3 at its relaxed geometry from the Alexandria database. Energies are from PBEsol.

abc: 7.100 7.100 5.287
angles: 90.00 90.00 104.58
Positions (direct):
K 0.178 0.822 0.750
K 0.822 0.178 0.250
Fe 0.352 0.352 0.000
Fe 0.352 0.352 0.500
Fe 0.648 0.648 0.000
Fe 0.648 0.648 0.500
Se 0.093 0.313 0.750
Se 0.313 0.093 0.250
Se 0.381 0.619 0.250
Se 0.619 0.381 0.750
Se 0.687 0.907 0.750
Se 0.907 0.687 0.250

## Properties
Its calculated density is 4.99 g/cm³. For the uncorrected formation energy, the calculation gives -0.5140 eV per atom. As for the space-group type: No. 63.

Here is crystalline NaRe2SbBr at its relaxed geometry from the Alexandria database. Energies are from PBEsol.

abc: 4.966 4.966 6.157
angles: 90.00 90.00 90.00
Positions (direct):
Na 0.000 0.000 0.000
Re 0.000 0.500 0.500
Re 0.500 0.000 0.500
Sb 0.500 0.500 0.500
Br 0.500 0.500 0.000

## Properties
Its calculated density is 6.53 g/cm³. For the uncorrected formation energy, the calculation gives 1.7996 eV per atom. As for the space-group type: No. 123.

Here is crystalline SiTc2Pb at its relaxed geometry from the Alexandria database. Energies are from PBEsol.

abc: 5.087 5.087 5.087
angles: 144.32 120.86 71.02
Positions (direct):
Si 0.000 0.000 0.000
Tc 0.217 0.717 0.500
Tc 0.783 0.283 0.500
Pb 0.500 0.500 0.000

## Properties
Its calculated density is 11.05 g/cm³. For the polymorph energy (0 for the lowest one), the calculation gives 12.3 kJ/mol of atoms. For the uncorrected formation energy, the calculation gives 0.3586 eV per atom. As for the space-group type: No. 71.

Here is crystalline InCuO2 at its relaxed geometry from the Alexandria database. Energies are from PBEsol.

abc: 6.072 6.072 6.072
angles: 31.56 31.56 31.56
Positions (direct):
In 0.000 0.000 0.000
Cu 0.500 0.500 0.500
O 0.395 0.395 0.395
O 0.605 0.605 0.605

## Properties
Its calculated density is 6.41 g/cm³. For the uncorrected formation energy, the calculation gives -1.1316 eV per atom. As for the space-group type: No. 166.

Here is crystalline MgTcIr2 at its relaxed geometry from the Alexandria database. Energies are from PBEsol.

abc: 2.775 2.775 7.539
angles: 90.00 90.00 90.00
Positions (direct):
Mg 0.000 0.000 0.000
Tc 0.000 0.000 0.500
Ir 0.500 0.500 0.265
Ir 0.500 0.500 0.735

## Properties
Its calculated density is 14.49 g/cm³. For the formation energy, the calculation gives -25.9 kJ per mole of atoms. As for the space-group type: No. 123.

Here is crystalline OsPdNF2 at its relaxed geometry from the Alexandria database. Energies are from PBEsol.

abc: 4.124 4.124 3.849
angles: 90.00 90.00 90.00
Positions (direct):
Os 0.000 0.000 0.000
Pd 0.500 0.500 0.500
N 0.500 0.500 0.000
F 0.000 0.500 0.500
F 0.500 0.000 0.500

## Properties
Its calculated density is 8.84 g/cm³. For the uncorrected formation energy, the calculation gives 1.0586 eV per atom. As for the space-group type: No. 123.